Record 1
The following is a DFT calculation (PBE) of a relaxed structure of Sm8NiC3Cl4.

a = 7.6354 Å, b = 8.2414 Å, c = 7.6360 Å
α = 117.61°, β = 120.00°, γ = 90.00°
Fractional coordinates of all 16 atoms:
Sm 0.2409 0.6988 0.9580
Sm 0.2409 0.6988 0.4818
Sm 0.2695 0.3086 0.5390
Sm 0.7171 0.6988 0.9580
Sm 0.2829 0.3012 0.0420
Sm 0.7305 0.6914 0.4610
Sm 0.7591 0.3012 0.5182
Sm 0.7591 0.3012 0.0420
Ni 0.0000 0.5000 0.0000
C 0.5000 0.5000 0.0000
C 0.5000 0.5000 0.5000
C 0.0000 0.5000 0.5000
Cl 0.5000 0.0000 0.0000
Cl 0.5000 0.0000 0.5000
Cl 0.0000 0.0000 0.0000
Cl 0.0000 0.0000 0.5000

DOS(E_F): 8.96 states/eV/f.u.
ΔE_f (raw): -1477.1 kJ/mol of formula units
total moment: 0.0000 μB/atom
crystal system: trigonal
volume: 21.97 A^3/atom
symmetry: R-3m, No. 166

=====

Record 2
The following is a DFT calculation (PBE) of a relaxed structure of NiSnCCl2.

a = 5.3254 Å, b = 5.0880 Å, c = 5.3254 Å
α = 90.00°, β = 90.00°, γ = 90.00°
Site moments in Bohr magnetons follow the coordinates.
Fractional coordinates of all 5 atoms:
Ni 0.0000 0.5000 0.0000  -1.02
C 0.5000 0.5000 0.5000  0.94
Sn 0.0000 0.0000 0.0000  0.04
Cl 0.0000 0.0000 0.5000  0.00
Cl 0.5000 0.0000 0.0000  0.00

DOS(E_F): 8.83 states/eV/f.u.
ΔE_f (raw): 739.0 kJ/mol of formula units
total moment: 0.1611 μB/atom
crystal system: tetragonal
volume: 28.86 A^3/atom
symmetry: P4/mmm, No. 123

=====

Record 3
The following is a DFT calculation (PBE) of a relaxed structure of NiTeC2Cl.

a = 4.1850 Å, b = 5.2042 Å, c = 4.1850 Å
α = 90.00°, β = 90.00°, γ = 90.00°
Site moments in Bohr magnetons follow the coordinates.
Fractional coordinates of all 5 atoms:
Ni 0.0000 0.5000 0.0000  0.70
C 0.0000 0.0000 0.5000  0.29
C 0.5000 0.0000 0.0000  0.43
Te 0.0000 0.0000 0.0000  -0.03
Cl 0.5000 0.5000 0.5000  0.14

DOS(E_F): 5.05 states/eV/f.u.
ΔE_f (raw): 1089.4 kJ/mol of formula units
total moment: 0.4417 μB/atom
crystal system: tetragonal
volume: 18.23 A^3/atom
symmetry: P4/mmm, No. 123

=====

Record 4
The following is a DFT calculation (PBE) of a relaxed structure of TlNi2CCl.

a = 4.0214 Å, b = 6.5923 Å, c = 4.0214 Å
α = 90.00°, β = 90.00°, γ = 90.00°
Site moments in Bohr magnetons follow the coordinates.
Fractional coordinates of all 5 atoms:
Ni 0.0000 0.0000 0.5000  0.14
Ni 0.5000 0.0000 0.0000  0.20
Tl 0.0000 0.5000 0.0000  0.03
C 0.5000 0.5000 0.5000  0.77
Cl 0.0000 0.0000 0.0000  0.03

DOS(E_F): 1.88 states/eV/f.u.
ΔE_f (raw): 760.8 kJ/mol of formula units
total moment: 0.3983 μB/atom
crystal system: tetragonal
volume: 21.32 A^3/atom
symmetry: P4/mmm, No. 123

=====

Record 5
The following is a DFT calculation (PBE) of a relaxed structure of Pb2CCl2O3.

a = 8.6208 Å, b = 9.4329 Å, c = 8.9691 Å
α = 98.22°, β = 89.50°, γ = 83.29°
Fractional coordinates of all 32 atoms:
Pb 0.1441 0.6434 0.6468
Pb 0.2850 0.1195 0.6416
Pb 0.7205 0.8019 0.9187
Pb 0.3052 0.7094 0.1308
Pb 0.7187 0.8728 0.3706
Pb 0.8296 0.3507 0.3734
Pb 0.6885 0.2815 0.8792
Pb 0.2635 0.2097 0.1006
C 0.3225 0.4226 0.8153
C 0.6838 0.5696 0.1826
C 0.8601 0.5131 0.7110
C 0.1526 0.4958 0.2734
Cl 0.5898 0.1631 0.5489
Cl 0.0297 0.2143 0.8868
Cl 0.0991 0.1086 0.3844
Cl 0.3482 0.9092 0.8841
Cl 0.6274 0.0871 0.1214
Cl 0.8735 0.8813 0.6498
Cl 0.4175 0.8244 0.4507
Cl 0.9662 0.8262 0.1068
O 0.7009 0.4371 0.1191
O 0.3117 0.5550 0.8771
O 0.0640 0.3919 0.2572
O 0.7283 0.4648 0.7253
O 0.9187 0.5978 0.8175
O 0.6110 0.6742 0.1181
O 0.2820 0.4696 0.1877
O 0.1225 0.6150 0.3597
O 0.3913 0.3153 0.8792
O 0.9410 0.4827 0.5836
O 0.7380 0.6003 0.3167
O 0.2649 0.3919 0.6822

DOS(E_F): 0.00 states/eV/f.u.
excess energy over the best structure of this formula in the dataset: 0.024 eV per atom
ΔE_f (raw): -985.7 kJ/mol of formula units
total moment: 0.0000 μB/atom
crystal system: triclinic
volume: 22.40 A^3/atom
symmetry: P1, No. 1

=====

Record 6
The following is a DFT calculation (PBE) of a relaxed structure of Pb2CCl2O3.

a = 8.2631 Å, b = 8.2631 Å, c = 9.0370 Å
α = 90.00°, β = 90.00°, γ = 90.00°
Fractional coordinates of all 32 atoms:
C 0.3225 0.8225 0.0000
C 0.6775 0.1775 0.0000
C 0.1775 0.3225 0.0000
C 0.8225 0.6775 0.0000
Cl 0.0000 0.0000 0.2484
Cl 0.5000 0.5000 0.7516
Cl 0.0000 0.0000 0.7516
Cl 0.5000 0.5000 0.2484
Cl 0.3521 0.8521 0.5000
Cl 0.6479 0.1479 0.5000
Cl 0.1479 0.3521 0.5000
Cl 0.8521 0.6479 0.5000
O 0.2098 0.7098 0.0000
O 0.7902 0.2902 0.0000
O 0.2902 0.2098 0.0000
O 0.7098 0.7902 0.0000
O 0.3722 0.8722 0.1277
O 0.6278 0.1278 0.1277
O 0.1278 0.3722 0.1277
O 0.8722 0.6278 0.1277
O 0.1278 0.3722 0.8723
O 0.8722 0.6278 0.8723
O 0.3722 0.8722 0.8723
O 0.6278 0.1278 0.8723
Pb 0.1680 0.6680 0.2590
Pb 0.8320 0.3320 0.2590
Pb 0.3320 0.1680 0.2590
Pb 0.6680 0.8320 0.2590
Pb 0.3320 0.1680 0.7410
Pb 0.6680 0.8320 0.7410
Pb 0.1680 0.6680 0.7410
Pb 0.8320 0.3320 0.7410

DOS(E_F): 0.00 states/eV/f.u.
excess energy over the best structure of this formula in the dataset: 0.000 eV per atom
ΔE_f (raw): -1004.2 kJ/mol of formula units
total moment: 0.0000 μB/atom
crystal system: tetragonal
volume: 19.28 A^3/atom
symmetry: P4/mbm, No. 127

=====

Record 7
The following is a DFT calculation (PBE) of a relaxed structure of Pd2CClO.

a = 4.0369 Å, b = 4.6903 Å, c = 4.0369 Å
α = 90.00°, β = 90.00°, γ = 90.00°
Site moments in Bohr magnetons follow the coordinates.
Fractional coordinates of all 5 atoms:
C 0.0000 0.0000 0.0000  0.01
O 0.5000 0.5000 0.5000  -1.00
Pd 0.0000 0.0000 0.5000  -0.01
Pd 0.5000 0.0000 0.0000  0.02
Cl 0.0000 0.5000 0.0000  -0.17

DOS(E_F): 1.98 states/eV/f.u.
ΔE_f (raw): 499.1 kJ/mol of formula units
total moment: 0.2633 μB/atom
crystal system: tetragonal
volume: 15.29 A^3/atom
symmetry: P4/mmm, No. 123

=====

Record 8
The following is a DFT calculation (PBE) of a relaxed structure of Pm6C2Cl2O.

a = 6.4532 Å, b = 6.4532 Å, c = 7.0679 Å
α = 99.09°, β = 99.09°, γ = 119.79°
Fractional coordinates of all 11 atoms:
Pm 0.7287 0.7287 0.7049
Pm 0.0737 0.4015 0.7011
Pm 0.2713 0.2713 0.2951
Pm 0.4015 0.0737 0.7011
Pm 0.9263 0.5985 0.2989
Pm 0.5985 0.9263 0.2989
C 0.3308 0.6692 0.5000
C 0.6692 0.3308 0.5000
Cl 0.8285 0.1715 0.0000
Cl 0.1715 0.8285 0.0000
O 0.0000 0.0000 0.5000

DOS(E_F): 5.84 states/eV/f.u.
ΔE_f (raw): -1297.3 kJ/mol of formula units
total moment: 0.0000 μB/atom
crystal system: monoclinic
volume: 22.04 A^3/atom
symmetry: C2/m, No. 12

=====

Record 9
The following is a DFT calculation (PBE) of a relaxed structure of Pm6C2ClO3.

a = 3.6670 Å, b = 7.5098 Å, c = 8.2018 Å
α = 101.48°, β = 102.92°, γ = 90.00°
Fractional coordinates of all 12 atoms:
Pm 0.3204 0.8942 0.6408
Pm 0.6687 0.5792 0.3373
Pm 0.6796 0.1058 0.3592
Pm 0.0054 0.2864 0.0109
Pm 0.9946 0.7136 0.9891
Pm 0.3313 0.4208 0.6627
C 0.8353 0.6698 0.6705
C 0.1647 0.3302 0.3295
Cl 0.5000 0.0000 0.0000
O 0.5000 0.5000 0.0000
O 0.8311 0.1609 0.6623
O 0.1689 0.8391 0.3377

DOS(E_F): 3.20 states/eV/f.u.
ΔE_f (raw): -1996.1 kJ/mol of formula units
total moment: 0.0000 μB/atom
crystal system: monoclinic
volume: 17.96 A^3/atom
symmetry: C2/m, No. 12

=====

Record 10
The following is a DFT calculation (PBE) of a relaxed structure of Pm6C3ClO2.

a = 3.7238 Å, b = 7.5393 Å, c = 8.3724 Å
α = 103.25°, β = 102.85°, γ = 90.00°
Fractional coordinates of all 12 atoms:
Pm 0.3224 0.9141 0.6448
Pm 0.6672 0.5875 0.3344
Pm 0.6776 0.0859 0.3552
Pm 0.9974 0.2783 0.9947
Pm 0.0026 0.7217 0.0053
Pm 0.3328 0.4125 0.6656
C 0.5000 0.5000 0.0000
C 0.8337 0.1679 0.6675
C 0.1663 0.8321 0.3325
Cl 0.5000 0.0000 0.0000
O 0.8289 0.6633 0.6577
O 0.1711 0.3367 0.3423

DOS(E_F): 2.17 states/eV/f.u.
ΔE_f (raw): -1515.4 kJ/mol of formula units
total moment: 0.0000 μB/atom
crystal system: monoclinic
volume: 18.56 A^3/atom
symmetry: C2/m, No. 12

=====

Record 11
The following is a DFT calculation (PBE) of a relaxed structure of Pm8C3Cl4O.

a = 7.4494 Å, b = 8.2364 Å, c = 7.4499 Å
α = 116.90°, β = 120.00°, γ = 90.00°
Fractional coordinates of all 16 atoms:
Pm 0.2306 0.6895 0.9590
Pm 0.2306 0.6895 0.4612
Pm 0.2692 0.3076 0.5383
Pm 0.7284 0.6895 0.9590
Pm 0.2716 0.3105 0.0410
Pm 0.7308 0.6924 0.4617
Pm 0.7694 0.3105 0.5388
Pm 0.7694 0.3105 0.0410
C 0.5000 0.5000 0.0000
C 0.5000 0.5000 0.5000
C 0.0000 0.5000 0.5000
Cl 0.5000 0.0000 0.0000
Cl 0.5000 0.0000 0.5000
Cl 0.0000 0.0000 0.0000
Cl 0.0000 0.0000 0.5000
O 0.0000 0.5000 0.0000

DOS(E_F): 5.97 states/eV/f.u.
ΔE_f (raw): -2046.6 kJ/mol of formula units
total moment: 0.0000 μB/atom
crystal system: trigonal
volume: 21.10 A^3/atom
symmetry: R-3m, No. 166

=====

Record 12
The following is a DFT calculation (PBE) of a relaxed structure of Pm4CCl2O.

a = 3.7258 Å, b = 6.3751 Å, c = 7.2898 Å
α = 107.26°, β = 90.00°, γ = 90.00°
Fractional coordinates of all 8 atoms:
Pm 0.5000 0.2308 0.1882
Pm 0.5000 0.7692 0.8118
Pm 0.0000 0.2684 0.8097
Pm 0.0000 0.7316 0.1903
C 0.5000 0.5000 0.0000
Cl 0.5000 0.0000 0.5000
Cl 0.0000 0.5000 0.5000
O 0.0000 0.0000 0.0000

DOS(E_F): 3.35 states/eV/f.u.
ΔE_f (raw): -1211.8 kJ/mol of formula units
total moment: 0.0000 μB/atom
crystal system: monoclinic
volume: 20.67 A^3/atom
symmetry: P2/m, No. 10